Material: Tb5Pr4Nd3
Method: DFT, PBE-GGA
State: optimized geometry

Structure (extended XYZ):
```
12
Lattice="6.310 0.000 0.000 0.007 7.284 0.000 0.007 0.037 8.914" Properties=species:S:1:pos:R:3 pbc="T T T"
Tb 0.000 0.000 0.000
Tb 1.061 1.849 2.971
Tb 2.118 3.667 5.933
Tb 4.206 3.653 2.981
Tb 5.262 5.471 5.943
Pr 1.055 5.464 2.975
Pr 2.103 7.304 5.944
Pr 4.221 0.017 2.970
Pr 5.269 1.857 5.939
Nd 0.004 3.642 0.000
Nd 3.147 1.830 0.007
Nd 3.177 5.490 8.907
```

Calculated values
- Energy relative to the elements: 14 meV/atom
- Spin magnetization: 0.00 μB per atom
- Symmetry: P-1, No. 2